1.
Material: LaFeCoAs2
Method: DFT, PBE
State: optimized geometry

Values from the calculation:
E, eV per atom: -6.6803

```
5
Lattice="-1.9519 1.9519 5.7684 1.9519 -1.9519 5.7684 1.9519 1.9519 -5.7684" Properties=species:S:1:pos:R:3 pbc="T T T"
La 0.0000 0.0000 0.0000
Fe 0.0000 1.9519 2.8842
Co 1.9519 0.0000 2.8842
As 0.0000 0.0000 4.1402
As 0.0000 0.0000 7.3966
```

---

2.
Material: Fe2CoAsN
Method: DFT, PBE
State: optimized geometry

Values from the calculation:
E_form (uncorrected), meV/atom: 18

```
5
Lattice="3.8372 0.0000 0.0000 0.0000 3.8372 0.0000 0.0000 0.0000 3.7951" Properties=species:S:1:pos:R:3 pbc="T T T"
Fe 0.0000 1.9186 0.0000
Fe 1.9186 0.0000 0.0000
Co 0.0000 0.0000 1.8975
As 1.9186 1.9186 1.8975
N 0.0000 0.0000 0.0000
```